A geometry-optimized LiMgP2Cl structure. Source: Alexandria, functional PBE.

relative energy among the computed polymorphs	0	meV/atom
total moment	1.78	μB/cell
uncorrected formation energy	11.9	kJ per mole of atoms
V	24.93	Å³/atom
DFT total energy	-3.112	eV per atom
DOS at the Fermi energy	2.332	states/eV/cell

Cell lengths 4.9168, 4.9168, 5.1570 Å; angles 90.00, 90.00, 90.00 degrees
With the nearest neighbours (Å) after each atom.
Space group P4/mmm (No. 123)
One atom of each set of equivalent atoms:
Li 0.0000 0.0000 0.0000 (multiplicity 1)  4 Cl 3.48, 8 P 3.56
Mg 0.5000 0.5000 0.5000 (multiplicity 1)  4 P 2.46, 2 Cl 2.58
P 0.0000 0.5000 0.5000 (multiplicity 2)  2 Mg 2.46
Cl 0.5000 0.5000 0.0000 (multiplicity 1)  2 Mg 2.58


A geometry-optimized LiMgPCl2 structure. Source: Alexandria, functional PBE.

relative energy among the computed polymorphs	0	meV/atom
total moment	2.00	μB/cell
uncorrected formation energy	-60.2	kJ per mole of atoms
V	26.12	Å³/atom
DFT total energy	-3.147	eV per atom
DOS at the Fermi energy	0.189	states/eV/cell

Cell lengths 5.0532, 5.0532, 5.1150 Å; angles 90.00, 90.00, 90.00 degrees
With the nearest neighbours (Å) after each atom.
Space group P4/mmm (No. 123)
One atom of each set of equivalent atoms:
Li 0.0000 0.0000 0.0000 (multiplicity 1)  4 P 3.57, 8 Cl 3.60
Mg 0.5000 0.5000 0.5000 (multiplicity 1)  4 Cl 2.53, 2 P 2.56
P 0.5000 0.5000 0.0000 (multiplicity 1)  2 Mg 2.56
Cl 0.0000 0.5000 0.5000 (multiplicity 2)  2 Mg 2.53


A geometry-optimized LiMgP2Cl structure. Source: Alexandria, functional PBE.

relative energy among the computed polymorphs	88	meV/atom
total moment	0.00	μB/cell
uncorrected formation energy	20.4	kJ per mole of atoms
V	19.36	Å³/atom
DFT total energy	-3.024	eV per atom
DOS at the Fermi energy	4.031	states/eV/cell

Cell lengths 4.2900, 4.2900, 5.2591 Å; angles 90.00, 90.00, 90.00 degrees
With the nearest neighbours (Å) after each atom.
Space group P4/mmm (No. 123)
One atom of each set of equivalent atoms:
Li 0.0000 0.0000 0.0000 (multiplicity 1)  4 P 2.14
Mg 0.5000 0.5000 0.5000 (multiplicity 1)  4 Cl 3.03, 8 P 3.39
P 0.0000 0.5000 0.0000 (multiplicity 2)  2 Li 2.14
Cl 0.0000 0.0000 0.5000 (multiplicity 1)  2 Li 2.63


A geometry-optimized LiMgPdCl6 structure. Source: Alexandria, functional PBE.

total moment	2.06	μB/cell
uncorrected formation energy	-109.3	kJ per mole of atoms
V	22.26	Å³/atom
DFT total energy	-3.330	eV per atom
DOS at the Fermi energy	12.206	states/eV/cell

Cell lengths 6.2740, 6.2740, 11.7530 Å; angles 90.00, 90.00, 120.00 degrees
With the nearest neighbours (Å) after each atom.
Space group P-31c (No. 163)
One atom of each set of equivalent atoms:
Li 0.0000 0.0000 0.0000 (multiplicity 2)  6 Cl 2.69
Mg 0.3333 0.6667 0.2500 (multiplicity 2)  6 Cl 2.51
Pd 0.3333 0.6667 0.7500 (multiplicity 2)  6 Cl 2.44
Cl 0.0083 0.3548 0.6311 (multiplicity 12)  1 Pd 2.44, 1 Mg 2.51, 1 Li 2.69